Record 1
Material: ZrFeBr4
Method: DFT, PBE
State: relaxed

## Properties
Its electronic total energy is -2.973 eV/atom. For the magnetization, the calculation gives 0.330 μB/atom. As for the energy relative to the elements, uncorrected: 0.98 eV/atom. The density of states at the Fermi level is 11.50 states/eV/f.u.

a b c (Å): 6.0612 6.0612 6.0612
angles (deg): 60.00 60.00 60.00
Each line ends with the local moment (μB).
Fractional positions:
Zr1 0.0000 0.0000 0.0000  -1.01
Fe1 0.7500 0.7500 0.7500  3.42
Br1 0.8750 0.3750 0.3750  -0.03
Br2 0.3750 0.3750 0.8750  -0.03
Br3 0.3750 0.8750 0.3750  -0.03
Br4 0.3750 0.3750 0.3750  -0.03

---

Record 2
Material: SrAgRh
Method: DFT, PBE
State: relaxed

## Properties
The calculation puts the energy above the most stable polymorph in this dataset at 243 meV per atom. As for the energy of formation: 1.4 kJ/mol of atoms. Its electronic total energy is -3.947 eV/atom. For the magnetization, the calculation gives 0.000 μB/atom. The density of states at the Fermi level is 2.27 states/eV/f.u.

a b c (Å): 5.7262 5.7262 3.6510
angles (deg): 71.41 71.41 37.18
Fractional positions:
Ag1 0.9669 0.9669 0.0331
Rh1 0.3619 0.3619 0.6381
Sr1 0.6712 0.6712 0.3288

---

Record 3
Material: NaTa3B
Method: DFT, PBE
State: relaxed

## Properties
The calculation puts the energy above the most stable polymorph in this dataset at 2515 meV per atom. As for the energy of formation: 293.3 kJ/mol of atoms. Its electronic total energy is -5.671 eV/atom. For the magnetization, the calculation gives 0.000 μB/atom. The density of states at the Fermi level is 5.61 states/eV/f.u.

a b c (Å): 4.5532 4.5532 4.5532
angles (deg): 90.00 90.00 90.00
Fractional positions:
Na1 0.0000 0.0000 0.0000
B1 0.5000 0.5000 0.5000
Ta1 0.0000 0.5000 0.0000
Ta2 0.0000 0.0000 0.5000
Ta3 0.5000 0.0000 0.0000

---

Record 4
Material: CaMoCl2
Method: DFT, PBE
State: relaxed

## Properties
The calculation puts the energy above the most stable polymorph in this dataset at 285 meV per atom. Its electronic total energy is -4.399 eV/atom. For the magnetization, the calculation gives 0.501 μB/atom. As for the energy relative to the elements, uncorrected: -0.27 eV/atom. The density of states at the Fermi level is 1.84 states/eV/f.u.

a b c (Å): 4.8391 4.8391 8.6712
angles (deg): 73.80 73.80 90.00
Each line ends with the local moment (μB).
Fractional positions:
Mo1 0.0000 0.0000 0.0000  1.50
Mo2 0.7500 0.2500 0.5000  1.51
Ca1 0.5000 0.5000 0.0000  0.01
Ca2 0.2500 0.7500 0.5000  0.01
Cl1 0.6766 0.1250 0.2500  0.01
Cl2 0.0734 0.6250 0.2500  0.01
Cl3 0.3750 0.3234 0.7500  0.01
Cl4 0.8750 0.9266 0.7500  0.01

---

Record 5
Material: La2Cd3Ag4
Method: DFT, PBE
State: relaxed

## Properties
The calculation puts the energy above the most stable polymorph in this dataset at 0 meV per atom. As for the energy of formation: -24.0 kJ/mol of atoms. Its electronic total energy is -2.916 eV/atom. For the magnetization, the calculation gives 0.000 μB/atom. The density of states at the Fermi level is 6.63 states/eV/f.u.

a b c (Å): 5.0951 5.0904 9.5105
angles (deg): 85.60 85.59 60.41
Fractional positions:
La1 0.3536 0.3572 0.7678
La2 0.6464 0.6428 0.2322
Cd1 0.2983 0.2954 0.4113
Cd2 0.0000 0.0000 0.0000
Cd3 0.7017 0.7046 0.5887
Ag1 0.6758 0.6793 0.9071
Ag2 0.9659 0.9612 0.3601
Ag3 0.0341 0.0388 0.6399
Ag4 0.3242 0.3207 0.0929

---

Record 6
Material: NaGaPb
Method: DFT, PBE
State: relaxed

## Properties
As for the energy of formation: -6.3 kJ/mol of atoms. Its electronic total energy is -2.750 eV/atom. For the magnetization, the calculation gives 0.000 μB/atom. The density of states at the Fermi level is 1.18 states/eV/f.u.

a b c (Å): 3.3931 9.3495 4.8917
angles (deg): 90.00 90.00 89.96
Fractional positions:
Pb1 0.0016 0.8160 0.5000
Pb2 0.9984 0.1840 0.5000
Na1 0.5000 0.5000 0.5000
Na2 0.5000 0.0000 0.0000
Ga1 0.9964 0.6404 0.0000
Ga2 0.0036 0.3596 0.0000

---

Record 7
Material: Cs2CeI2Cl4
Method: DFT, PBE
State: relaxed

## Properties
Its electronic total energy is -3.840 eV/atom. For the magnetization, the calculation gives 0.000 μB/atom. As for the energy relative to the elements, uncorrected: -1.83 eV/atom.

a b c (Å): 8.0332 8.0332 8.0332
angles (deg): 92.33 118.67 118.67
Fractional positions:
Cs1 0.5000 0.7500 0.2500
Cs2 0.5000 0.2500 0.7500
Ce1 0.0000 0.0000 0.0000
I1 0.0000 0.7264 0.7264
I2 0.0000 0.2736 0.2736
Cl1 0.0000 0.7731 0.2269
Cl2 0.5462 0.7731 0.7731
Cl3 0.0000 0.2269 0.7731
Cl4 0.4538 0.2269 0.2269

---

Record 8
Material: MgTl2Cl
Method: DFT, PBE
State: relaxed

## Properties
The calculation puts the energy above the most stable polymorph in this dataset at 69 meV per atom. Its electronic total energy is -2.502 eV/atom. For the magnetization, the calculation gives 0.000 μB/atom. As for the energy relative to the elements, uncorrected: -0.46 eV/atom. The density of states at the Fermi level is 1.76 states/eV/f.u.

a b c (Å): 6.3779 6.3779 6.2990
angles (deg): 61.06 61.06 30.72
Fractional positions:
Cl1 0.4379 0.4379 0.6054
Mg1 0.7838 0.7838 0.6480
Tl1 0.0387 0.0387 0.9962
Tl2 0.2396 0.2396 0.2503

---

Record 9
Material: HfPaGe2
Method: DFT, PBE
State: relaxed

## Properties
The calculation puts the energy above the most stable polymorph in this dataset at 0 meV per atom. As for the energy of formation: -44.5 kJ/mol of atoms. Its electronic total energy is -7.632 eV/atom. For the magnetization, the calculation gives 0.000 μB/atom. The density of states at the Fermi level is 3.74 states/eV/f.u.

a b c (Å): 4.4757 4.4757 5.5577
angles (deg): 66.26 66.26 60.00
Fractional positions:
Hf1 0.0000 0.0000 0.0000
Pa1 0.5000 0.5000 0.5000
Ge1 0.7387 0.7387 0.7840
Ge2 0.2613 0.2613 0.2160

---

Record 10
Material: Mg3AlPd6
Method: DFT, PBE
State: relaxed

## Properties
The calculation puts the energy above the most stable polymorph in this dataset at 0 meV per atom. As for the energy of formation: -68.2 kJ/mol of atoms. Its electronic total energy is -4.675 eV/atom. For the magnetization, the calculation gives 0.000 μB/atom. The density of states at the Fermi level is 2.22 states/eV/f.u.

a b c (Å): 4.5276 7.5917 9.6368
angles (deg): 109.60 90.00 90.00
Fractional positions:
Mg1 0.2500 0.5324 0.3849
Mg2 0.7500 0.4676 0.6151
Mg3 0.2500 0.3671 0.7898
Mg4 0.7500 0.6329 0.2102
Mg5 0.2500 0.7809 0.9886
Mg6 0.7500 0.2191 0.0114
Al1 0.2500 0.9529 0.5921
Al2 0.7500 0.0471 0.4079
Pd1 0.2500 0.4586 0.0839
Pd2 0.7500 0.5414 0.9161
Pd3 0.2500 0.1502 0.1809
Pd4 0.7500 0.8498 0.8191
Pd5 0.2500 0.6681 0.6797
Pd6 0.7500 0.3319 0.3203
Pd7 0.2500 0.2386 0.4952
Pd8 0.7500 0.7614 0.5048
Pd9 0.2500 0.8531 0.3089
Pd10 0.7500 0.1469 0.6911
Pd11 0.2500 0.0675 0.8680
Pd12 0.7500 0.9325 0.1320

---

Record 11
Material: HgPIF6
Method: DFT, PBE
State: relaxed

## Properties
Its electronic total energy is -4.089 eV/atom. For the magnetization, the calculation gives 0.000 μB/atom. As for the energy relative to the elements, uncorrected: -2.03 eV/atom. The density of states at the Fermi level is 0.00 states/eV/f.u.

a b c (Å): 8.4831 6.9045 4.8448
angles (deg): 92.54 83.81 37.43
Fractional positions:
Hg1 0.8717 0.4189 0.4999
P1 0.3315 0.3325 0.5001
I1 0.8287 0.2777 0.9979
F1 0.2386 0.2801 0.2537
F2 0.4246 0.0391 0.6334
F3 0.4182 0.3776 0.7465
F4 0.0299 0.5974 0.7056
F5 0.2294 0.6215 0.3696
F6 0.6270 0.0552 0.2932

---

Record 12
Material: CsHg6Bi2
Method: DFT, PBE
State: relaxed

## Properties
The calculation puts the energy above the most stable polymorph in this dataset at 192 meV per atom. As for the energy of formation: 9.1 kJ/mol of atoms. Its electronic total energy is -1.064 eV/atom. For the magnetization, the calculation gives 0.000 μB/atom. The density of states at the Fermi level is 4.05 states/eV/f.u.

a b c (Å): 10.7443 10.7443 10.7443
angles (deg): 60.00 60.00 60.00
Fractional positions:
Cs1 0.5000 0.5000 0.5000
Cs2 0.7500 0.7500 0.7500
Hg1 0.2175 0.2175 0.7825
Hg2 0.7825 0.7825 0.2175
Hg3 0.2175 0.7825 0.2175
Hg4 0.2175 0.7825 0.7825
Hg5 0.4675 0.4675 0.0325
Hg6 0.4675 0.0325 0.0325
Hg7 0.7825 0.2175 0.7825
Hg8 0.0325 0.0325 0.4675
Hg9 0.4675 0.0325 0.4675
Hg10 0.0325 0.4675 0.4675
Hg11 0.7825 0.2175 0.2175
Hg12 0.0325 0.4675 0.0325
Bi1 0.1250 0.1250 0.1250
Bi2 0.1250 0.6250 0.1250
Bi3 0.1250 0.1250 0.6250
Bi4 0.6250 0.1250 0.1250

---

Which value of magnetization does entry 8 give?
0.000 μB/atom

---

Please write out number 9 again, unchanged.
Material: HfPaGe2
Method: DFT, PBE
State: relaxed

## Properties
The calculation puts the energy above the most stable polymorph in this dataset at 0 meV per atom. As for the energy of formation: -44.5 kJ/mol of atoms. Its electronic total energy is -7.632 eV/atom. For the magnetization, the calculation gives 0.000 μB/atom. The density of states at the Fermi level is 3.74 states/eV/f.u.

a b c (Å): 4.4757 4.4757 5.5577
angles (deg): 66.26 66.26 60.00
Fractional positions:
Hf1 0.0000 0.0000 0.0000
Pa1 0.5000 0.5000 0.5000
Ge1 0.7387 0.7387 0.7840
Ge2 0.2613 0.2613 0.2160